Record 1
# CsRb2TeBr6 PBE optimized geometry
data_CsRb2TeBr6
_symmetry_space_group_name_H-M 'P 1'
_symmetry_Int_Tables_number 1
_cell_length_a 9.0292
_cell_length_b 9.0292
_cell_length_c 9.0292
_cell_angle_alpha 123.21
_cell_angle_beta 123.21
_cell_angle_gamma 84.53
loop_
_symmetry_equiv_pos_as_xyz
'x,y,z'
loop_
_atom_site_label
_atom_site_type_symbol
_atom_site_fract_x
_atom_site_fract_y
_atom_site_fract_z
Cs1 Cs 0.0000 0.0000 0.0000
Rb1 Rb 0.2500 0.7500 0.5000
Rb2 Rb 0.7500 0.2500 0.5000
Te1 Te 0.5000 0.5000 0.0000
Br1 Br 0.2556 0.2556 0.0000
Br2 Br 0.2766 0.2766 0.5532
Br3 Br 0.2766 0.7234 0.0000
Br4 Br 0.7234 0.2766 0.0000
Br5 Br 0.7234 0.7234 0.4468
Br6 Br 0.7444 0.7444 0.0000
# total moment = 1.00 μB per formula unit
# calculated volume = 493 Å³ per cell
# symmetry = I4/mmm, No. 139


Record 2
# Sr2AgSe PBE optimized geometry
data_Sr2AgSe
_symmetry_space_group_name_H-M 'P 1'
_symmetry_Int_Tables_number 1
_cell_length_a 4.8591
_cell_length_b 6.4045
_cell_length_c 6.4045
_cell_angle_alpha 38.58
_cell_angle_beta 90.00
_cell_angle_gamma 90.00
loop_
_symmetry_equiv_pos_as_xyz
'x,y,z'
loop_
_atom_site_label
_atom_site_type_symbol
_atom_site_fract_x
_atom_site_fract_y
_atom_site_fract_z
Sr1 Sr 0.0000 0.0000 0.0000
Sr2 Sr 0.5000 0.2630 0.2630
Ag1 Ag 0.5000 0.5311 0.5311
Se1 Se 0.0000 0.7343 0.7343
# total moment = 0.00 μB per formula unit
# calculated volume = 124 Å³ per cell
# symmetry = Amm2, No. 38


Record 3
# NaSiP PBE optimized geometry
data_NaSiP
_symmetry_space_group_name_H-M 'P 1'
_symmetry_Int_Tables_number 1
_cell_length_a 3.8045
_cell_length_b 5.8524
_cell_length_c 6.9577
_cell_angle_alpha 65.15
_cell_angle_beta 74.21
_cell_angle_gamma 71.17
loop_
_symmetry_equiv_pos_as_xyz
'x,y,z'
loop_
_atom_site_label
_atom_site_type_symbol
_atom_site_fract_x
_atom_site_fract_y
_atom_site_fract_z
Na1 Na 0.0954 0.0688 0.2339
Na2 Na 0.9046 0.9312 0.7661
Si1 Si 0.3222 0.4085 0.4466
Si2 Si 0.6778 0.5915 0.5534
P1 P 0.3973 0.6290 0.0840
P2 P 0.6027 0.3710 0.9160
# total moment = 0.00 μB per formula unit
# calculated volume = 131 Å³ per cell
# symmetry = P-1, No. 2


Number 1: raw total energy -26.53 eV/cell. Number 2: raw total energy -13.57 eV/cell. Number 3: raw total energy -24.63 eV/cell.